# 1
VASP calculation (PBE) on MgNiBi after structural relaxation.

The structure in CIF format:
```
data_MgNiBi
_chemical_formula_sum 'Mg4 Ni4 Bi4'
_symmetry_space_group_name_H-M 'F -4 3 m'
_symmetry_Int_Tables_number 216
_symmetry_space_group_name_Hall 'F -4 2 3'
_cell_length_a 6.254
_cell_length_b 6.254
_cell_length_c 6.254
_cell_angle_alpha 90.00
_cell_angle_beta 90.00
_cell_angle_gamma 90.00
loop_
_atom_site_label
_atom_site_fract_x
_atom_site_fract_y
_atom_site_fract_z
Mg1 0.000 0.000 0.000
Ni1 0.250 0.250 0.750
Bi1 0.000 0.000 0.500
```

Properties
The crystal system is cubic. For the size of the total moment, the calculation gives 0.0 μB/f.u. Its total energy is -3.94 eV/atom.


# 2
VASP calculation (PBE) on MgNiBi after structural relaxation.

The structure in CIF format:
```
data_MgNiBi
_chemical_formula_sum 'Mg4 Ni4 Bi4'
_symmetry_space_group_name_H-M 'P n m a'
_symmetry_Int_Tables_number 62
_symmetry_space_group_name_Hall '-P 2ac 2n'
_cell_length_a 7.846
_cell_length_b 4.301
_cell_length_c 7.247
_cell_angle_alpha 90.00
_cell_angle_beta 90.00
_cell_angle_gamma 90.00
loop_
_atom_site_label
_atom_site_fract_x
_atom_site_fract_y
_atom_site_fract_z
Mg1 0.003 0.250 0.222
Ni1 0.091 0.750 0.432
Bi1 0.249 0.250 0.590
```

Properties
The crystal system is orthorhombic. For the size of the total moment, the calculation gives 0.0 μB/f.u. Its total energy is -3.85 eV/atom.


# 3
VASP calculation (PBE) on MgNiBi after structural relaxation.

The structure in CIF format:
```
data_MgNiBi
_chemical_formula_sum 'Mg3 Ni3 Bi3'
_symmetry_space_group_name_H-M 'P -6 2 m'
_symmetry_Int_Tables_number 189
_symmetry_space_group_name_Hall 'P -6 -2'
_cell_length_a 7.2727
_cell_length_b 7.2727
_cell_length_c 3.8375
_cell_angle_alpha 90.00
_cell_angle_beta 90.00
_cell_angle_gamma 120.00
loop_
_atom_site_label
_atom_site_fract_x
_atom_site_fract_y
_atom_site_fract_z
Mg1 0.0000 0.6080 0.0000
Ni1 0.0000 0.0000 0.0000
Ni2 0.3333 0.6667 0.5000
Bi1 0.0000 0.2771 0.5000
```

Properties
The crystal system is hexagonal. For the size of the total moment, the calculation gives 0.0 μB/f.u. Its total energy is -3.82 eV/atom.


Q: Which of these has the lowest total energy?
A: number 1


Q: What is the size of the total moment in the first record?
A: 0.0 μB/f.u.


Q: The highest total energy belongs to which entry?
A: number 3


Q: The lowest total energy belongs to which entry?
A: number 1